{
  "formula": "K6Al32O51",
  "functional": "PBEsol",
  "state": "relaxed",
  "lattice_angstrom": [[-4.6355, 5.7076, -6.4529], [-9.6313, 1.4674, 0.8009], [0.2789, 11.1438, 4.3429]],
  "species": ["K", "K", "K", "K", "K", "K", "Al", "Al", "Al", "Al", "Al", "Al", "Al", "Al", "Al", "Al", "Al", "Al", "Al", "Al", "Al", "Al", "Al", "Al", "Al", "Al", "Al", "Al", "Al", "Al", "Al", "Al", "Al", "Al", "Al", "Al", "Al", "Al", "O", "O", "O", "O", "O", "O", "O", "O", "O", "O", "O", "O", "O", "O", "O", "O", "O", "O", "O", "O", "O", "O", "O", "O", "O", "O", "O", "O", "O", "O", "O", "O", "O", "O", "O", "O", "O", "O", "O", "O", "O", "O", "O", "O", "O", "O", "O", "O", "O", "O", "O"],
  "frac_coords": [[0.2091, 0.0000, 0.4893], [0.5003, 0.6266, 0.5150], [0.6948, 0.7934, 0.5371], [0.1270, 0.3734, 0.5150], [0.8764, 0.0000, 0.5180], [0.4882, 0.2066, 0.5371], [0.0026, 0.0000, 0.9974], [0.0954, 0.0000, 0.2056], [0.5943, 0.4978, 0.2109], [0.4263, 0.8327, 0.2013], [0.6696, 0.6667, 0.9975], [0.6868, 0.3330, 0.9488], [0.7904, 0.3323, 0.6537], [0.8815, 0.3318, 0.3480], [0.9823, 0.3338, 0.0503], [0.2519, 0.8335, 0.7819], [0.0855, 0.1665, 0.7819], [0.5740, 0.6680, 0.7883], [0.7614, 0.6660, 0.2086], [0.2591, 0.1673, 0.2013], [0.0921, 0.5022, 0.2109], [0.3555, 0.0000, 0.9376], [0.6508, 0.0000, 0.0497], [0.5397, 0.0000, 0.3343], [0.3363, 0.3333, 0.9975], [0.9108, 0.4977, 0.7937], [0.7401, 0.8392, 0.7855], [0.4273, 0.3340, 0.2086], [0.2420, 0.3320, 0.7883], [0.9274, 0.8321, 0.2097], [0.7595, 0.1679, 0.2097], [0.0198, 0.6670, 0.9488], [0.2134, 0.6682, 0.3480], [0.3161, 0.6662, 0.0503], [0.1227, 0.6677, 0.6537], [0.5793, 0.1608, 0.7855], [0.4085, 0.5023, 0.7937], [0.9076, 0.0000, 0.7945], [0.7303, 0.3330, 0.2915], [0.2319, 0.8375, 0.2863], [0.9647, 0.1566, 0.0996], [0.4759, 0.6670, 0.0983], [0.2933, 0.0000, 0.1005], [0.0988, 0.0000, 0.7173], [0.3724, 0.6624, 0.8939], [0.5658, 0.6686, 0.2802], [0.8439, 0.3242, 0.5004], [0.0694, 0.1625, 0.2863], [0.8794, 0.1563, 0.9018], [0.6030, 0.4982, 0.7126], [0.7881, 0.5102, 0.1009], [0.3978, 0.0000, 0.2706], [0.1923, 0.0000, 0.8973], [0.4440, 0.8109, 0.7071], [0.6353, 0.8211, 0.0963], [0.8983, 0.5026, 0.2889], [0.7029, 0.5100, 0.9022], [0.1429, 0.3330, 0.0983], [0.9356, 0.3360, 0.7116], [0.4582, 0.0000, 0.4782], [0.7723, 0.6626, 0.7211], [0.2344, 0.3314, 0.2802], [0.9652, 0.6647, 0.1097], [0.0348, 0.3376, 0.8939], [0.7357, 0.8309, 0.2836], [0.5491, 0.8225, 0.8989], [0.4564, 0.1789, 0.0963], [0.2549, 0.1891, 0.7071], [0.8610, 0.6654, 0.9023], [0.0632, 0.6670, 0.2915], [0.2984, 0.4898, 0.1009], [0.3716, 0.1775, 0.8989], [0.1011, 0.5018, 0.7126], [0.5666, 0.1691, 0.2836], [0.8104, 0.0000, 0.0992], [0.6284, 0.0000, 0.7019], [0.9015, 0.0000, 0.2824], [0.7084, 0.0000, 0.8926], [0.1681, 0.6758, 0.5004], [0.6299, 0.3353, 0.1097], [0.4349, 0.3374, 0.7211], [0.1214, 0.8434, 0.0996], [0.2129, 0.4900, 0.9022], [0.9382, 0.8356, 0.7137], [0.4009, 0.4974, 0.2889], [0.5265, 0.3346, 0.9023], [0.0358, 0.8437, 0.9018], [0.7739, 0.1644, 0.7137], [0.2716, 0.6640, 0.7116]],
  "raw_formation_energy_mev_per_atom": -2903,
  "magmom_total_mub_per_cell": 0.2,
  "dos_at_fermi_per_ev_atom": 0.000,
  "volume_a3_per_atom": 10.64,
  "final_energy_ev_per_atom": -7.4590
}